No. 1
GaTeS2: optimized geometry, GGA-PBEsol.

Cell: 6.6842 6.6842 6.6842 Å, 90.00 90.00 90.00°
Space group Fm-3m (No. 225)
Asymmetric unit:
Ga 0.0000 0.0000 0.0000 (multiplicity 4)
Te 0.0000 0.0000 0.5000 (multiplicity 4)
S 0.2500 0.2500 0.2500 (multiplicity 8)

calculated volume	299	Å³ per cell
Fermi-level density of states	7.02	states/eV/cell
total moment	0.00	μB/atom
formation energy without anion corrections	178	meV per atom

***

No. 2
KP2PbO: optimized geometry, GGA-PBEsol.

Cell: 5.3467 5.3467 4.3811 Å, 90.00 90.00 90.00°
Space group P4/mmm (No. 123)
Asymmetric unit:
K 0.0000 0.0000 0.0000 (multiplicity 1)
P 0.0000 0.5000 0.5000 (multiplicity 2)
Pb 0.5000 0.5000 0.5000 (multiplicity 1)
O 0.5000 0.5000 0.0000 (multiplicity 1)

calculated volume	125	Å³ per cell
Fermi-level density of states	2.52	states/eV/cell
total moment	0.53	μB/atom
formation energy without anion corrections	432	meV per atom

***

No. 3
Ba2CaAs: optimized geometry, GGA-PBEsol.

Cell: 11.6996 11.6996 5.6895 Å, 90.00 90.00 90.00°
Space group I-42d (No. 122)
Asymmetric unit:
Ba 0.1022 0.2500 0.1250 (multiplicity 8)
Ca 0.0000 0.0000 0.5000 (multiplicity 4)
As 0.0000 0.0000 0.0000 (multiplicity 4)

calculated volume	779	Å³ per cell
Fermi-level density of states	16.64	states/eV/cell
E	-13.33	eV per formula unit
total moment	0.26	μB/atom

***

No. 4
LaMnIr: optimized geometry, GGA-PBEsol.

Cell: 6.5351 6.5351 6.5351 Å, 90.00 90.00 90.00°
Space group F-43m (No. 216)
Asymmetric unit:
La 0.0000 0.0000 0.0000 (multiplicity 4)
Mn 0.0000 0.0000 0.5000 (multiplicity 4)
Ir 0.2500 0.2500 0.7500 (multiplicity 4)

calculated volume	279	Å³ per cell
Fermi-level density of states	6.94	states/eV/cell
E	-24.59	eV per formula unit
total moment	1.56	μB/atom

***

No. 5
GeTe2CI: optimized geometry, GGA-PBEsol.

Cell: 5.3561 5.3561 5.4630 Å, 90.00 90.00 90.00°
Space group P4/mmm (No. 123)
Asymmetric unit:
Ge 0.0000 0.0000 0.0000 (multiplicity 1)
Te 0.0000 0.5000 0.0000 (multiplicity 2)
C 0.5000 0.5000 0.5000 (multiplicity 1)
I 0.0000 0.0000 0.5000 (multiplicity 1)

calculated volume	157	Å³ per cell
Fermi-level density of states	6.04	states/eV/cell
total moment	0.22	μB/atom
formation energy without anion corrections	1817	meV per atom

***

No. 6
LiCuRu2: optimized geometry, GGA-PBEsol.

Cell: 2.6535 3.6941 5.1974 Å, 90.00 90.00 90.00°
Space group Pmm2 (No. 25)
Asymmetric unit:
Li 0.0000 0.0000 0.0000 (multiplicity 1)
Cu 0.5000 0.5000 0.7867 (multiplicity 1)
Ru 0.0000 0.0000 0.4997 (multiplicity 1)
Ru 0.5000 0.5000 0.2908 (multiplicity 1)

calculated volume	51	Å³ per cell
Fermi-level density of states	2.82	states/eV/cell
distance to the lowest polymorph of the same formula	0.000	eV per atom
total moment	0.00	μB/atom

***

No. 7
SrTlBr2: optimized geometry, GGA-PBEsol.

Cell: 7.8043 7.8043 7.8043 Å, 90.00 90.00 90.00°
Space group F-43m (No. 216)
Asymmetric unit:
Sr 0.0000 0.0000 0.0000 (multiplicity 4)
Tl 0.2500 0.2500 0.7500 (multiplicity 4)
Br 0.0000 0.0000 0.5000 (multiplicity 4)
Br 0.2500 0.2500 0.2500 (multiplicity 4)

calculated volume	475	Å³ per cell
Fermi-level density of states	8.84	states/eV/cell
total moment	0.00	μB/atom
formation energy without anion corrections	-859	meV per atom

***

No. 8
CsTeH: optimized geometry, GGA-PBEsol.

Cell: 6.2650 5.9934 10.5955 Å, 90.00 90.00 90.00°
Space group Amm2 (No. 38)
Asymmetric unit:
Cs 0.0000 0.0000 0.0000 (multiplicity 2)
Cs 0.5000 0.0000 0.3377 (multiplicity 2)
Te 0.2250 0.0000 0.6685 (multiplicity 4)
H 0.5000 0.0647 0.0437 (multiplicity 4)

calculated volume	398	Å³ per cell
Fermi-level density of states	1.06	states/eV/cell
E	-9.50	eV per formula unit
total moment	0.00	μB/atom

***

No. 9
La2Os: optimized geometry, GGA-PBEsol.

Cell: 6.9389 6.9389 6.9389 Å, 90.00 90.00 90.00°
Space group Fm-3m (No. 225)
Asymmetric unit:
La 0.2500 0.2500 0.2500 (multiplicity 8)
Os 0.0000 0.0000 0.0000 (multiplicity 4)

calculated volume	334	Å³ per cell
Fermi-level density of states	9.09	states/eV/cell
E	-23.10	eV per formula unit
total moment	0.00	μB/atom

***

No. 10
KCuHg2: optimized geometry, GGA-PBEsol.

Cell: 4.5784 4.5784 4.5574 Å, 90.00 90.00 90.00°
Space group P4/mmm (No. 123)
Asymmetric unit:
K 0.0000 0.0000 0.0000 (multiplicity 1)
Cu 0.5000 0.5000 0.0000 (multiplicity 1)
Hg 0.0000 0.5000 0.5000 (multiplicity 2)

calculated volume	96	Å³ per cell
Fermi-level density of states	1.04	states/eV/cell
distance to the lowest polymorph of the same formula	0.168	eV per atom
total moment	0.00	μB/atom

***

No. 11
SrGa4O7: optimized geometry, GGA-PBEsol.

Cell: 13.4971 9.2106 5.7081 Å, 90.00 105.89 90.00°
Space group C2/c (No. 15)
Asymmetric unit:
Sr 0.0000 0.1856 0.2500 (multiplicity 4)
Ga 0.1189 0.4394 0.7560 (multiplicity 8)
Ga 0.1682 0.0883 0.7984 (multiplicity 8)
O 0.0000 0.4633 0.2500 (multiplicity 4)
O 0.1154 0.0464 0.0543 (multiplicity 8)
O 0.1197 0.2569 0.6432 (multiplicity 8)
O 0.1885 0.4365 0.0925 (multiplicity 8)

calculated volume	683	Å³ per cell
Fermi-level density of states	0.00	states/eV/cell
total moment	0.00	μB/atom
formation energy without anion corrections	-2110	meV per atom

***

No. 12
Rb2Ag2GeS4: optimized geometry, GGA-PBEsol.

Cell: 7.4547 21.8596 6.2856 Å, 90.00 115.93 90.00°
Space group C2/c (No. 15)
Asymmetric unit:
Rb 0.0000 0.0614 0.2500 (multiplicity 4)
Rb 0.0000 0.1916 0.7500 (multiplicity 4)
Ag 0.0000 0.3203 0.2500 (multiplicity 4)
Ag 0.0000 0.4655 0.2500 (multiplicity 4)
Ge 0.0000 0.3775 0.7500 (multiplicity 4)
S 0.2009 0.3188 0.6585 (multiplicity 8)
S 0.2044 0.4359 0.0518 (multiplicity 8)

calculated volume	921	Å³ per cell
Fermi-level density of states	0.00	states/eV/cell
total moment	0.00	μB/atom
formation energy without anion corrections	-665	meV per atom